Computed, not measured: a relaxed structure of Nd2CrHgO6 at the PBE+U level of DFT.

As for the total energy: -6.74 eV/atom. The value obtained for the density of states at the Fermi level is 0.229 states/eV/atom. As for the size of the total moment: 0.200 μB per atom.

The structure belongs to space group P4mm (No. 99); the cell edges are 5.433, 5.433 and 5.210 Å and the angles 90.00°, 90.00° and 90.00°. The asymmetric unit holds Nd at (0.000, 0.500, 0.000), Cr at (0.000, 0.000, 0.611), Hg at (0.500, 0.500, 0.524), O at (0.000, 0.000, 0.262), O at (0.232, 0.232, 0.744) and O at (0.500, 0.500, 0.119).